# 1
A plane-wave DFT calculation with GGA-PBE was carried out for crystalline PtINF2 at its relaxed geometry. Values from VASP.

```
&SYSTEM
  ibrav = 0, nat = 5, ntyp = 4
/
ATOMIC_SPECIES
F 19.00 F.upf
I 126.90 I.upf
Pt 195.08 Pt.upf
N 14.01 N.upf
CELL_PARAMETERS angstrom
4.646 0.000 0.000
0.000 4.646 0.000
0.000 0.000 3.719
ATOMIC_POSITIONS crystal
F 0.000 0.500 0.000
F 0.500 0.000 0.000
I 0.500 0.500 0.500
Pt 0.000 0.000 0.000
N 0.000 0.000 0.500
```

- offset from the most stable computed form (eV per formula unit) = 0.00
- crystal system = tetragonal
- symmetry = P4/mmm, No. 123
- E (eV/atom) = -3.770
- uncorrected formation energy (meV/atom) = 162

=====

# 2
A plane-wave DFT calculation with GGA-PBE was carried out for crystalline TiSn2HI at its relaxed geometry. Values from VASP.

```
&SYSTEM
  ibrav = 0, nat = 5, ntyp = 4
/
ATOMIC_SPECIES
Ti 47.87 Ti.upf
Sn 118.71 Sn.upf
H 1.01 H.upf
I 126.90 I.upf
CELL_PARAMETERS angstrom
4.342 0.000 0.000
0.000 5.657 0.000
0.000 0.000 4.342
ATOMIC_POSITIONS crystal
Ti 0.500 0.500 0.500
Sn 0.500 0.000 0.000
Sn 0.000 0.000 0.500
H 0.000 0.000 0.000
I 0.000 0.500 0.000
```

- crystal system = tetragonal
- symmetry = P4/mmm, No. 123
- E (eV/atom) = -3.717

=====

# 3
A plane-wave DFT calculation with GGA-PBE was carried out for crystalline ReCN2 at its relaxed geometry. Values from VASP.

```
&SYSTEM
  ibrav = 0, nat = 8, ntyp = 3
/
ATOMIC_SPECIES
Re 186.21 Re.upf
C 12.01 C.upf
N 14.01 N.upf
CELL_PARAMETERS angstrom
-4.150 0.099 -1.253
1.155 -1.401 -3.938
-1.906 -4.038 -1.511
ATOMIC_POSITIONS crystal
Re 0.750 0.250 0.500
Re 0.000 0.000 0.000
C 0.250 0.750 0.500
C 0.500 0.500 0.000
N 0.232 0.625 0.250
N 0.875 0.768 0.750
N 0.518 0.125 0.250
N 0.375 0.482 0.750
```

- crystal system = tetragonal
- symmetry = I-42d, No. 122
- E (eV/atom) = -8.549
- uncorrected formation energy (meV/atom) = 1032

=====

# 4
A plane-wave DFT calculation with GGA-PBE was carried out for crystalline Pm2Ge3SbPd4 at its relaxed geometry. Values from VASP.

```
&SYSTEM
  ibrav = 0, nat = 10, ntyp = 4
/
ATOMIC_SPECIES
Ge 72.64 Ge.upf
Pm 145.00 Pm.upf
Sb 121.76 Sb.upf
Pd 106.42 Pd.upf
CELL_PARAMETERS angstrom
-1.674 -2.905 -2.817
-1.091 -2.611 3.342
-9.339 4.744 0.657
ATOMIC_POSITIONS crystal
Ge 0.000 0.000 0.500
Ge 0.000 0.500 0.124
Ge 0.500 0.000 0.876
Pm 0.500 0.000 0.235
Pm 0.000 0.500 0.765
Sb 0.500 0.500 0.500
Pd 0.500 0.000 0.643
Pd 0.000 0.500 0.357
Pd 0.500 0.500 0.000
Pd 0.000 0.000 0.000
```

- crystal system = tetragonal
- symmetry = P-4m2, No. 115
- E (eV/atom) = -5.613
- uncorrected formation energy (meV/atom) = -788

=====

# 5
A plane-wave DFT calculation with GGA-PBE was carried out for crystalline InP at its relaxed geometry. Values from VASP.

```
&SYSTEM
  ibrav = 0, nat = 4, ntyp = 2
/
ATOMIC_SPECIES
P 30.97 P.upf
In 114.82 In.upf
CELL_PARAMETERS angstrom
5.220 0.000 -1.643
0.000 3.239 0.000
-3.589 0.000 6.859
ATOMIC_POSITIONS crystal
P 0.366 0.750 0.001
P 0.634 0.250 0.999
In 0.258 0.250 0.499
In 0.742 0.750 0.501
```

- crystal system = monoclinic
- symmetry = P2_1/m, No. 11
- formation energy from the elements (eV/atom) = -0.016
- E (eV/atom) = -4.090

=====

# 6
A plane-wave DFT calculation with GGA-PBE was carried out for crystalline POs2Cl at its relaxed geometry. Values from VASP.

```
&SYSTEM
  ibrav = 0, nat = 4, ntyp = 3
/
ATOMIC_SPECIES
Cl 35.45 Cl.upf
P 30.97 P.upf
Os 190.23 Os.upf
CELL_PARAMETERS angstrom
-3.553 3.568 -0.702
-3.135 -1.720 -3.614
1.808 -0.481 4.727
ATOMIC_POSITIONS crystal
Cl 0.250 0.750 0.500
P 0.750 0.250 0.500
Os 0.524 0.524 0.000
Os 0.976 0.976 0.000
```

- offset from the most stable computed form (eV per formula unit) = 2.15
- crystal system = orthorhombic
- symmetry = Immm, No. 71
- E (eV/atom) = -6.667
- uncorrected formation energy (meV/atom) = 762